Here is AcCe2Os after structural relaxation from Alexandria via LeMat-Bulk. Energies are from GGA-PBE.

The energy relative to the elements is -0.03 eV/atom. The energy above the lowest structure with this stoichiometry comes out at 0.000 eV per atom.

It has space group R3m (No. 160, hexagonal axes), with a = 4.0640 Å, b = 4.0640 Å, c = 27.0743 Å, α = 90.00°, β = 90.00° and γ = 120.00°. The asymmetric unit holds Ac at (0.0000, 0.0000, 0.0000), Ce at (0.0000, 0.0000, 0.2232), Ce at (0.0000, 0.0000, 0.4470) and Os at (0.0000, 0.0000, 0.8364).

***

Here is BaCe2Fe after structural relaxation from Alexandria via LeMat-Bulk. Energies are from GGA-PBE.

The energy relative to the elements is 0.21 eV/atom.

It has space group R-3m (No. 166, hexagonal axes), with a = 3.8385 Å, b = 3.8385 Å, c = 30.7576 Å, α = 90.00°, β = 90.00° and γ = 120.00°. The asymmetric unit holds Ba at (0.0000, 0.0000, 0.0000), Ce at (0.0000, 0.0000, 0.1199) and Fe at (0.0000, 0.0000, 0.5000).